--- A ---
Below is PmPaFe after structural relaxation, with properties calculated at the PBE level.

Spin magnetization, μB per formula unit: 0.000
Calculated volume, A^3/atom: 22.03

Cell and atoms, written as CIF:
```
data_PmPaFe
_symmetry_space_group_name_H-M 'P 1'
_symmetry_Int_Tables_number 1
_cell_length_a 3.406
_cell_length_b 3.406
_cell_length_c 6.185
_cell_angle_alpha 105.98
_cell_angle_beta 105.98
_cell_angle_gamma 90.00
loop_
_symmetry_equiv_pos_as_xyz
'x,y,z'
loop_
_atom_site_label
_atom_site_fract_x
_atom_site_fract_y
_atom_site_fract_z
Pa1 0.293 0.293 0.586
Fe1 0.706 0.706 0.411
Pm1 0.001 0.001 0.002
```


--- B ---
Below is PmPaFe after structural relaxation, with properties calculated at the PBE level.

Spin magnetization, μB per formula unit: 0.000
Calculated volume, A^3/atom: 23.17

Cell and atoms, written as CIF:
```
data_PmPaFe
_symmetry_space_group_name_H-M 'P 1'
_symmetry_Int_Tables_number 1
_cell_length_a 5.619
_cell_length_b 9.446
_cell_length_c 9.446
_cell_angle_alpha 116.17
_cell_angle_beta 101.44
_cell_angle_gamma 101.44
loop_
_symmetry_equiv_pos_as_xyz
'x,y,z'
loop_
_atom_site_label
_atom_site_fract_x
_atom_site_fract_y
_atom_site_fract_z
Pa1 0.785 0.581 0.458
Pa2 0.796 0.124 0.581
Pa3 0.328 0.542 0.124
Pa4 0.215 0.419 0.542
Pa5 0.204 0.876 0.419
Pa6 0.672 0.458 0.876
Fe1 0.845 0.603 0.171
Fe2 0.758 0.432 0.603
Fe3 0.674 0.829 0.432
Fe4 0.242 0.568 0.397
Fe5 0.326 0.171 0.568
Fe6 0.155 0.397 0.829
Pm1 0.778 0.914 0.171
Pm2 0.393 0.171 0.256
Pm3 0.863 0.256 0.086
Pm4 0.222 0.086 0.829
Pm5 0.137 0.744 0.914
Pm6 0.607 0.829 0.744
```


B comes first in stability; the runner-up is 0.059 eV/atom higher.


--- A ---
Below is PrPaFe after structural relaxation, with properties calculated at the PBE level.

Spin magnetization, μB per formula unit: 0.000
Calculated volume, A^3/atom: 25.10

Cell and atoms, written as CIF:
```
data_PrPaFe
_symmetry_space_group_name_H-M 'P 1'
_symmetry_Int_Tables_number 1
_cell_length_a 4.101
_cell_length_b 4.101
_cell_length_c 5.169
_cell_angle_alpha 90.00
_cell_angle_beta 90.00
_cell_angle_gamma 120.00
loop_
_symmetry_equiv_pos_as_xyz
'x,y,z'
loop_
_atom_site_label
_atom_site_fract_x
_atom_site_fract_y
_atom_site_fract_z
Pa1 0.667 0.333 0.500
Fe1 0.333 0.667 0.500
Pr1 0.000 0.000 0.000
```


--- B ---
Below is PrPaFe after structural relaxation, with properties calculated at the PBE level.

Spin magnetization, μB per formula unit: 0.000
Calculated volume, A^3/atom: 24.70

Cell and atoms, written as CIF:
```
data_PrPaFe
_symmetry_space_group_name_H-M 'P 1'
_symmetry_Int_Tables_number 1
_cell_length_a 3.563
_cell_length_b 6.490
_cell_length_c 7.128
_cell_angle_alpha 71.92
_cell_angle_beta 75.53
_cell_angle_gamma 74.07
loop_
_symmetry_equiv_pos_as_xyz
'x,y,z'
loop_
_atom_site_label
_atom_site_fract_x
_atom_site_fract_y
_atom_site_fract_z
Pr1 0.546 0.227 0.681
Pr2 0.454 0.773 0.319
Fe1 0.119 0.793 0.970
Fe2 0.881 0.207 0.030
Pa1 0.242 0.322 0.193
Pa2 0.758 0.678 0.807
```


B comes first in stability; the runner-up is 0.022 eV/atom higher.


--- A ---
Below is PuPaFe after structural relaxation, with properties calculated at the PBE level.

Spin magnetization, μB per formula unit: 4.439
Calculated volume, A^3/atom: 19.39

Cell and atoms, written as CIF:
```
data_PuPaFe
_symmetry_space_group_name_H-M 'P 1'
_symmetry_Int_Tables_number 1
_cell_length_a 5.725
_cell_length_b 6.241
_cell_length_c 6.740
_cell_angle_alpha 104.96
_cell_angle_beta 90.00
_cell_angle_gamma 90.00
loop_
_symmetry_equiv_pos_as_xyz
'x,y,z'
loop_
_atom_site_label
_atom_site_fract_x
_atom_site_fract_y
_atom_site_fract_z
Fe1 0.999 0.502 0.288
Fe2 0.501 0.502 0.788
Fe3 0.499 0.498 0.212
Fe4 0.001 0.498 0.712
Pu1 0.235 0.191 0.832
Pu2 0.735 0.809 0.668
Pu3 0.765 0.809 0.168
Pu4 0.265 0.191 0.332
Pa1 0.233 0.794 0.006
Pa2 0.267 0.794 0.506
Pa3 0.733 0.206 0.494
Pa4 0.767 0.206 0.994
```


--- B ---
Below is PuPaFe after structural relaxation, with properties calculated at the PBE level.

Spin magnetization, μB per formula unit: 4.403
Calculated volume, A^3/atom: 19.55

Cell and atoms, written as CIF:
```
data_PuPaFe
_symmetry_space_group_name_H-M 'P 1'
_symmetry_Int_Tables_number 1
_cell_length_a 3.434
_cell_length_b 4.441
_cell_length_c 4.441
_cell_angle_alpha 120.00
_cell_angle_beta 90.00
_cell_angle_gamma 90.00
loop_
_symmetry_equiv_pos_as_xyz
'x,y,z'
loop_
_atom_site_label
_atom_site_fract_x
_atom_site_fract_y
_atom_site_fract_z
Pa1 0.329 0.667 0.333
Pu1 0.670 0.333 0.667
Fe1 0.001 0.000 0.000
```


--- C ---
Below is PuPaFe after structural relaxation, with properties calculated at the PBE level.

Spin magnetization, μB per formula unit: 4.445
Calculated volume, A^3/atom: 19.15

Cell and atoms, written as CIF:
```
data_PuPaFe
_symmetry_space_group_name_H-M 'P 1'
_symmetry_Int_Tables_number 1
_cell_length_a 3.442
_cell_length_b 3.442
_cell_length_c 5.424
_cell_angle_alpha 108.50
_cell_angle_beta 108.50
_cell_angle_gamma 90.00
loop_
_symmetry_equiv_pos_as_xyz
'x,y,z'
loop_
_atom_site_label
_atom_site_fract_x
_atom_site_fract_y
_atom_site_fract_z
Pu1 0.326 0.326 0.652
Fe1 0.662 0.662 0.323
Pa1 0.012 0.012 0.025
```


C comes first in stability; the runner-up is 0.041 eV/atom higher.


--- A ---
Below is PaFe2Re after structural relaxation, with properties calculated at the PBE level.

Spin magnetization, μB per formula unit: 0.000
Calculated volume, A^3/atom: 14.85

Cell and atoms, written as CIF:
```
data_PaFe2Re
_symmetry_space_group_name_H-M 'P 1'
_symmetry_Int_Tables_number 1
_cell_length_a 2.856
_cell_length_b 2.856
_cell_length_c 7.280
_cell_angle_alpha 90.00
_cell_angle_beta 90.00
_cell_angle_gamma 90.00
loop_
_symmetry_equiv_pos_as_xyz
'x,y,z'
loop_
_atom_site_label
_atom_site_fract_x
_atom_site_fract_y
_atom_site_fract_z
Fe1 0.000 0.000 0.784
Fe2 0.000 0.000 0.216
Pa1 0.500 0.500 0.500
Re1 0.500 0.500 0.000
```


--- B ---
Below is PaFe2Re after structural relaxation, with properties calculated at the PBE level.

Spin magnetization, μB per formula unit: 0.001
Calculated volume, A^3/atom: 15.33

Cell and atoms, written as CIF:
```
data_PaFe2Re
_symmetry_space_group_name_H-M 'P 1'
_symmetry_Int_Tables_number 1
_cell_length_a 4.424
_cell_length_b 4.424
_cell_length_c 4.429
_cell_angle_alpha 60.04
_cell_angle_beta 60.04
_cell_angle_gamma 60.00
loop_
_symmetry_equiv_pos_as_xyz
'x,y,z'
loop_
_atom_site_label
_atom_site_fract_x
_atom_site_fract_y
_atom_site_fract_z
Fe1 0.777 0.777 0.669
Fe2 0.223 0.223 0.331
Re1 0.000 0.000 0.000
Pa1 0.500 0.500 0.500
```


A comes first in stability; the runner-up is 0.115 eV/atom higher.


--- A ---
Below is PaFeRh2 after structural relaxation, with properties calculated at the PBE level.

Spin magnetization, μB per formula unit: 2.560
Calculated volume, A^3/atom: 17.11

Cell and atoms, written as CIF:
```
data_PaFeRh2
_symmetry_space_group_name_H-M 'P 1'
_symmetry_Int_Tables_number 1
_cell_length_a 4.602
_cell_length_b 4.602
_cell_length_c 4.582
_cell_angle_alpha 59.86
_cell_angle_beta 59.86
_cell_angle_gamma 60.00
loop_
_symmetry_equiv_pos_as_xyz
'x,y,z'
loop_
_atom_site_label
_atom_site_fract_x
_atom_site_fract_y
_atom_site_fract_z
Pa1 0.500 0.500 0.500
Rh1 0.239 0.239 0.282
Rh2 0.761 0.761 0.718
Fe1 0.000 0.000 0.000
```


--- B ---
Below is PaFeRh2 after structural relaxation, with properties calculated at the PBE level.

Spin magnetization, μB per formula unit: 2.438
Calculated volume, A^3/atom: 16.34

Cell and atoms, written as CIF:
```
data_PaFeRh2
_symmetry_space_group_name_H-M 'P 1'
_symmetry_Int_Tables_number 1
_cell_length_a 3.894
_cell_length_b 4.097
_cell_length_c 4.097
_cell_angle_alpha 90.00
_cell_angle_beta 90.00
_cell_angle_gamma 90.00
loop_
_symmetry_equiv_pos_as_xyz
'x,y,z'
loop_
_atom_site_label
_atom_site_fract_x
_atom_site_fract_y
_atom_site_fract_z
Fe1 0.500 0.000 0.000
Pa1 0.500 0.500 0.500
Rh1 0.000 0.500 0.000
Rh2 0.000 0.000 0.500
```


B comes first in stability; the runner-up is 0.269 eV/atom higher.


--- A ---
Below is PaFe2Ru after structural relaxation, with properties calculated at the PBE level.

Spin magnetization, μB per formula unit: 4.404
Calculated volume, A^3/atom: 15.82

Cell and atoms, written as CIF:
```
data_PaFe2Ru
_symmetry_space_group_name_H-M 'P 1'
_symmetry_Int_Tables_number 1
_cell_length_a 4.328
_cell_length_b 3.824
_cell_length_c 3.824
_cell_angle_alpha 90.00
_cell_angle_beta 90.00
_cell_angle_gamma 90.00
loop_
_symmetry_equiv_pos_as_xyz
'x,y,z'
loop_
_atom_site_label
_atom_site_fract_x
_atom_site_fract_y
_atom_site_fract_z
Ru1 0.500 0.500 0.500
Pa1 0.500 0.000 0.000
Fe1 0.000 0.000 0.500
Fe2 0.000 0.500 0.000
```


--- B ---
Below is PaFe2Ru after structural relaxation, with properties calculated at the PBE level.

Spin magnetization, μB per formula unit: 0.003
Calculated volume, A^3/atom: 14.97

Cell and atoms, written as CIF:
```
data_PaFe2Ru
_symmetry_space_group_name_H-M 'P 1'
_symmetry_Int_Tables_number 1
_cell_length_a 4.269
_cell_length_b 4.269
_cell_length_c 4.524
_cell_angle_alpha 61.85
_cell_angle_beta 61.85
_cell_angle_gamma 60.00
loop_
_symmetry_equiv_pos_as_xyz
'x,y,z'
loop_
_atom_site_label
_atom_site_fract_x
_atom_site_fract_y
_atom_site_fract_z
Fe1 0.780 0.780 0.659
Fe2 0.220 0.220 0.341
Ru1 0.000 0.000 0.000
Pa1 0.500 0.500 0.500
```


A comes first in stability; the runner-up is 0.204 eV/atom higher.